Entry from Alexandria via LeMat-Bulk: a relaxed Cs2LaMgBr6 crystal (PBE-GGA).

Calculated values
Uncorrected formation energy = -1.6360 eV/atom
N(E_F) = 2.9 states/eV/f.u.
V = 1628 Å³ per cell

Cell: 11.7643 11.7643 11.7643 Å, 90.00 90.00 90.00°
Last column: nearest neighbours and their distance in Å.
Space group Fm-3m (No. 225)
One atom of each set of equivalent atoms:
Cs: 0.2500 0.2500 0.2500  12 Br 4.16
La: 0.0000 0.0000 0.0000  6 Br 2.96
Mg: 0.0000 0.0000 0.5000  6 Br 2.92
Br: 0.0000 0.0000 0.2520  1 Mg 2.92, 1 La 2.96

---

Entry from Alexandria via LeMat-Bulk: a relaxed AcY4Er crystal (PBE-GGA).

Calculated values
Formation energy = 0.499 eV per atom
Energy relative to the lowest polymorph listed for this composition = 0.278 eV/atom
N(E_F) = 10.4 states/eV/f.u.
V = 468 Å³ per cell

Cell: 12.0086 5.9470 6.5572 Å, 90.00 90.22 90.00°
Last column: nearest neighbours and their distance in Å.
Space group P2_1/c (No. 14)
One atom of each set of equivalent atoms:
Ac: 0.0000 0.0000 0.0000  4 Y 3.62
Y: 0.2642 0.2423 0.8506  6 Y 3.26-3.63, 1 Er 3.36, 1 Ac 3.62
Y: 0.2651 0.7420 0.6472  6 Y 3.26-3.63, 1 Er 3.36, 1 Ac 3.62
Er: 0.5000 0.0000 0.5000  4 Y 3.36

---

> What is the N(E_F) in the first record?

2.9 states/eV/f.u.